[1]
A plane-wave DFT calculation with PBE-GGA was carried out for an optimized crystal structure of Pm2ZnHg2.

Results
Its crystal system is monoclinic. The calculation puts the total energy at -2.66 eV/atom. The calculation puts the relative energy among the computed polymorphs at 0.00 eV per formula unit. As for the formation energy: -0.3887 eV/atom. The total magnetization is 0.0 μB/cell.

Cell lengths 11.1480, 4.6125, 11.2334 Å; angles 90.00, 116.42, 90.00 degrees
Last column: nearest neighbours and their distance in Å.
Space group C2/m (No. 12)
Symmetry-distinct sites (fractional):
Pm 0.0258 0.0000 0.3448  4 Zn 3.20-3.41, 7 Hg 3.27-3.38
Pm 0.1866 0.0000 0.1059  6 Hg 3.11-3.38, 2 Zn 3.38
Zn 0.2217 0.5000 0.3391  3 Hg 2.67-2.78
Hg 0.0288 0.5000 0.8799  1 Zn 2.78, 1 Hg 3.04, 1 Pm 3.11
Hg 0.1472 0.5000 0.5738  2 Zn 2.67, 1 Hg 2.95

=====

[2]
A plane-wave DFT calculation with PBE-GGA was carried out for an optimized crystal structure of MgCr2Pt.

Results
Its crystal system is orthorhombic. The calculation puts the total energy at -6.66 eV/atom. As for the formation energy: 0.0599 eV/atom. The total magnetization is 0.3 μB/cell.

Cell lengths 3.0431, 4.5220, 8.3889 Å; angles 90.00, 90.00, 90.00 degrees
Last column: nearest neighbours and their distance in Å.
Space group Cmm2 (No. 35)
Symmetry-distinct sites (fractional):
Mg 0.0000 0.0000 0.0000  2 Pt 2.69, 4 Mg 2.73, 2 Cr 2.79
Cr 0.0000 0.0000 0.5243  2 Cr 2.24
Cr 0.0000 0.5000 0.7209  2 Cr 2.24
Pt 0.0000 0.5000 0.2640  2 Cr 2.66, 2 Mg 2.69, 4 Pt 2.73

=====

[3]
A plane-wave DFT calculation with PBE-GGA was carried out for an optimized crystal structure of NbIrPdI.

Results
Its crystal system is orthorhombic. The calculation puts the total energy at -6.33 eV/atom. The calculation puts the relative energy among the computed polymorphs at 0.13 eV per formula unit. The total magnetization is 0.0 μB/cell. The value obtained for the uncorrected formation energy is 0.093 eV/atom.

Cell lengths 2.9754, 3.5498, 8.4938 Å; angles 90.00, 90.00, 90.00 degrees
Last column: nearest neighbours and their distance in Å.
Space group Pmm2 (No. 25)
Symmetry-distinct sites (fractional):
Nb 0.0000 0.0000 0.0000  4 Ir 2.66, 4 Pd 2.83, 2 Nb 2.98
Ir 0.5000 0.5000 0.1544  4 Nb 2.66, 1 I 2.71, 1 Pd 2.94, 2 Ir 2.98
Pd 0.5000 0.5000 0.8081  4 Nb 2.83, 1 I 2.84, 1 Ir 2.94, 2 Pd 2.98
I 0.5000 0.5000 0.4732  1 Ir 2.71, 1 Pd 2.84, 2 I 2.98

=====

[4]
A plane-wave DFT calculation with PBE-GGA was carried out for an optimized crystal structure of TiBeCo3.

Results
Its crystal system is cubic. The calculation puts the total energy at -5.33 eV/atom. The calculation puts the relative energy among the computed polymorphs at 7.40 eV per formula unit. As for the formation energy: 1.2608 eV/atom. The total magnetization is 1.0 μB/cell.

Cell lengths 4.2055, 4.2055, 4.2055 Å; angles 90.00, 90.00, 90.00 degrees
Last column: nearest neighbours and their distance in Å.
Space group Pm-3m (No. 221)
Symmetry-distinct sites (fractional):
Ti 0.0000 0.0000 0.0000  6 Co 2.10
Be 0.5000 0.5000 0.5000  12 Co 2.97
Co 0.0000 0.0000 0.5000  2 Ti 2.10